This record from OQMD describes an optimized crystal structure of Hf4CuGe4. The functional is PBE.

Summary:
final energy = -67.246 eV/cell
M_tot = 0.0 μB/f.u.

a b c (Å): 5.3154 5.3154 8.9870
angles (deg): 109.29 109.29 42.19
Last column: nearest neighbours and their distance in Å.
Sites, in units of the cell vectors:
Hf (0.1029, 0.1029, 0.3800)  5 Ge 2.66-2.80
Hf (0.2475, 0.2475, 0.8455)  6 Ge 2.78-2.86, 2 Cu 3.07
Hf (0.7525, 0.7525, 0.1545)  6 Ge 2.78-2.86, 2 Cu 3.07
Hf (0.8971, 0.8971, 0.6200)  5 Ge 2.66-2.80
Cu (0.0000, 0.0000, 0.0000)  4 Ge 2.44
Ge (0.3740, 0.3740, 0.3879)  2 Ge 2.58-2.60, 5 Hf 2.66-2.78
Ge (0.4628, 0.4628, 0.1502)  2 Cu 2.44, 1 Ge 2.58
Ge (0.5372, 0.5372, 0.8498)  2 Cu 2.44, 1 Ge 2.58
Ge (0.6260, 0.6260, 0.6121)  2 Ge 2.58-2.60, 5 Hf 2.66-2.78

***

This record from OQMD describes an optimized crystal structure of Cu11C12S12. The functional is PBE.

Summary:
final energy = -198.326 eV/cell

a b c (Å): 3.9202 8.5746 14.6949
angles (deg): 91.19 94.05 94.09
Last column: nearest neighbours and their distance in Å.
Sites, in units of the cell vectors:
Cu (0.0000, 0.0000, 0.0000)  4 S 2.20-2.45
Cu (0.0897, 0.3205, 0.2780)  4 S 2.31-2.47
Cu (0.1249, 0.1786, 0.7728)  4 S 2.26-2.46
Cu (0.2610, 0.4960, 0.5577)  4 S 2.30-2.39, 1 Cu 2.57
Cu (0.3806, 0.6336, 0.2734)  4 S 2.30-2.51, 1 Cu 2.57
Cu (0.4552, 0.8462, 0.7930)  4 S 2.33-2.44
Cu (0.5448, 0.1538, 0.2070)  4 S 2.33-2.44
Cu (0.6194, 0.3664, 0.7266)  4 S 2.30-2.51, 1 Cu 2.57
Cu (0.7390, 0.5040, 0.4423)  4 S 2.30-2.39, 1 Cu 2.57
Cu (0.8751, 0.8214, 0.2272)  4 S 2.26-2.46
Cu (0.9103, 0.6795, 0.7220)  4 S 2.31-2.47
C (0.0170, 0.3693, 0.0569)  2 C 1.41
C (0.0843, 0.4878, 0.9090)  2 C 1.41
C (0.1090, 0.3579, 0.9659)  2 C 1.41
C (0.3929, 0.8465, 0.4674)  2 C 1.42
C (0.4478, 0.8789, 0.5624)  2 C 1.42
C (0.4504, 0.9673, 0.4048)  2 C 1.42
C (0.5496, 0.0327, 0.5952)  2 C 1.42
C (0.5522, 0.1211, 0.4376)  2 C 1.42
C (0.6071, 0.1535, 0.5326)  2 C 1.42
C (0.8910, 0.6421, 0.0341)  2 C 1.41
C (0.9157, 0.5122, 0.0910)  2 C 1.41
C (0.9830, 0.6307, 0.9431)  2 C 1.41
S (0.0235, 0.1977, 0.1234)  1 C 1.78
S (0.1441, 0.4654, 0.7908)  1 C 1.78
S (0.2646, 0.1854, 0.9244)  1 C 1.75
S (0.2677, 0.6529, 0.4249)  1 C 1.78
S (0.4034, 0.7243, 0.6407)  1 C 1.78
S (0.4041, 0.9270, 0.2847)  1 C 1.78
S (0.5959, 0.0730, 0.7153)  1 C 1.78
S (0.5966, 0.2757, 0.3593)  1 C 1.78
S (0.7323, 0.3471, 0.5751)  1 C 1.78
S (0.7354, 0.8146, 0.0756)  1 C 1.75
S (0.8559, 0.5346, 0.2092)  1 C 1.78
S (0.9765, 0.8023, 0.8766)  1 C 1.78

***

This record from OQMD describes an optimized crystal structure of RbLuFeSe3. The functional is PBE.

Summary:
final energy = -60.572 eV/cell
M_tot = 4.0 μB/f.u.

a b c (Å): 8.9115 8.9115 9.0030
angles (deg): 101.45 101.45 27.06
Last column: nearest neighbours and their distance in Å.
Sites, in units of the cell vectors:
Rb (0.1501, 0.1501, 0.0667)  7 Se 3.29-3.40
Rb (0.8499, 0.8499, 0.9333)  7 Se 3.29-3.40
Lu (0.1660, 0.1660, 0.5736)  6 Se 2.79-2.86
Lu (0.8340, 0.8340, 0.4264)  6 Se 2.79-2.86
Fe (0.4935, 0.4935, 0.2730)  2 Se 2.48-2.51
Fe (0.5065, 0.5065, 0.7270)  2 Se 2.48-2.51
Se (0.0000, 0.0000, 0.5000)  2 Lu 2.82, 4 Fe 2.91
Se (0.3344, 0.3344, 0.6369)  3 Lu 2.82-2.86, 1 Fe 2.93
Se (0.3454, 0.3454, 0.2268)  1 Fe 2.51, 2 Lu 2.79
Se (0.5000, 0.5000, 0.0000)  2 Fe 2.48
Se (0.6546, 0.6546, 0.7732)  1 Fe 2.51, 2 Lu 2.79
Se (0.6656, 0.6656, 0.3631)  3 Lu 2.82-2.86, 1 Fe 2.93

***

This record from OQMD describes an optimized crystal structure of TaF5. The functional is PBE.

Summary:
M_tot = 0.0 μB/f.u.
distance to the lowest polymorph of the same formula = 0 meV per atom

a b c (Å): 8.1557 8.1557 4.6302
angles (deg): 95.31 95.31 113.08
Last column: nearest neighbours and their distance in Å.
Sites, in units of the cell vectors:
Ta (0.2121, 0.7879, 0.0000)  6 F 1.85-2.06
Ta (0.2701, 0.2701, 0.7313)  6 F 1.84-2.05
Ta (0.7299, 0.7299, 0.2687)  6 F 1.84-2.05
Ta (0.7879, 0.2121, 0.0000)  6 F 1.85-2.06
F (0.0277, 0.2223, 0.8782)  2 Ta 2.05-2.06
F (0.0701, 0.6867, 0.6331)  1 Ta 1.88
F (0.1237, 0.1237, 0.3901)  1 Ta 1.88
F (0.1698, 0.5708, 0.1346)  1 Ta 1.85
F (0.2223, 0.0277, 0.8782)  2 Ta 2.05-2.06
F (0.2774, 0.4867, 0.6331)  1 Ta 1.84
F (0.3133, 0.9299, 0.3669)  1 Ta 1.88
F (0.3643, 0.3643, 0.1288)  1 Ta 1.89
F (0.4292, 0.8302, 0.8654)  1 Ta 1.85
F (0.4867, 0.2774, 0.6331)  1 Ta 1.84
F (0.5133, 0.7226, 0.3669)  1 Ta 1.84
F (0.5708, 0.1698, 0.1346)  1 Ta 1.85
F (0.6357, 0.6357, 0.8712)  1 Ta 1.89
F (0.6867, 0.0701, 0.6331)  1 Ta 1.88
F (0.7226, 0.5133, 0.3669)  1 Ta 1.84
F (0.7777, 0.9723, 0.1218)  2 Ta 2.05-2.06
F (0.8302, 0.4292, 0.8654)  1 Ta 1.85
F (0.8763, 0.8763, 0.6099)  1 Ta 1.88
F (0.9299, 0.3133, 0.3669)  1 Ta 1.88
F (0.9723, 0.7777, 0.1218)  2 Ta 2.05-2.06

***

This record from OQMD describes an optimized crystal structure of CoMo2Ir5. The functional is PBE.

Summary:
M_tot = 0.4 μB/f.u.
formation energy = -282 meV/atom

a b c (Å): 4.3702 5.4838 5.4838
angles (deg): 60.08 90.00 90.00
Last column: nearest neighbours and their distance in Å.
Sites, in units of the cell vectors:
Co (0.0000, 0.0000, 0.0000)  4 Mo 2.67-2.75, 8 Ir 2.68-2.75
Mo (0.0000, 0.4985, 0.4985)  10 Ir 2.71-2.75, 2 Co 2.75
Mo (0.5000, 0.1620, 0.1620)  10 Ir 2.67-2.81, 2 Co 2.67
Ir (0.0000, 0.4995, 0.9974)  6 Ir 2.69-2.76, 4 Mo 2.71-2.75, 2 Co 2.73-2.75
Ir (0.0000, 0.9974, 0.4995)  6 Ir 2.69-2.76, 4 Mo 2.71-2.75, 2 Co 2.73-2.75
Ir (0.5000, 0.1625, 0.6748)  4 Mo 2.67-2.81, 2 Co 2.68, 6 Ir 2.68-2.81
Ir (0.5000, 0.6674, 0.6674)  8 Ir 2.69-2.75, 4 Mo 2.71-2.75
Ir (0.5000, 0.6748, 0.1625)  4 Mo 2.67-2.81, 2 Co 2.68, 6 Ir 2.68-2.81

***

This record from OQMD describes an optimized crystal structure of ScPdW2. The functional is PBE.

Summary:
M_tot = 0.0 μB/f.u.
formation energy = 9 meV/atom

a b c (Å): 4.5472 4.5472 4.5472
angles (deg): 60.00 60.00 60.00
Last column: nearest neighbours and their distance in Å.
Sites, in units of the cell vectors:
Sc (0.0000, 0.0000, 0.0000)  4 W 2.78, 4 Pd 2.78
Pd (0.2500, 0.2500, 0.2500)  4 W 2.78, 4 Sc 2.78
W (0.5000, 0.5000, 0.5000)  4 W 2.78, 4 Pd 2.78
W (0.7500, 0.7500, 0.7500)  4 W 2.78, 4 Sc 2.78

***

This record from OQMD describes an optimized crystal structure of SmY2Hg5. The functional is PBE.

Summary:
M_tot = 0.0 μB/f.u.
formation energy = -451 meV/atom

a b c (Å): 8.1832 8.1832 8.1832
angles (deg): 142.78 142.78 53.66
Last column: nearest neighbours and their distance in Å.
Sites, in units of the cell vectors:
Sm (0.0000, 0.0000, 0.0000)  8 Hg 3.20
Y (0.2661, 0.2661, 0.0000)  8 Hg 3.05-3.32
Y (0.7339, 0.7339, 0.0000)  8 Hg 3.05-3.32
Hg (0.1261, 0.6261, 0.5000)  4 Y 3.05-3.32, 2 Sm 3.20, 2 Hg 3.20
Hg (0.3739, 0.8739, 0.5000)  4 Y 3.05-3.32, 2 Hg 3.20, 2 Sm 3.20
Hg (0.5000, 0.5000, 0.0000)  8 Hg 3.20, 2 Y 3.42
Hg (0.6261, 0.1261, 0.5000)  4 Y 3.05-3.32, 2 Sm 3.20, 2 Hg 3.20
Hg (0.8739, 0.3739, 0.5000)  4 Y 3.05-3.32, 2 Hg 3.20, 2 Sm 3.20

***

This record from OQMD describes an optimized crystal structure of Zn2CuPt. The functional is PBE.

Summary:
M_tot = 0.0 μB/f.u.
formation energy = -305 meV/atom

a b c (Å): 2.8599 2.8599 6.7456
angles (deg): 90.00 90.00 90.00
Last column: nearest neighbours and their distance in Å.
Sites, in units of the cell vectors:
Zn (0.0000, 0.0000, 0.2409)  4 Cu 2.59, 4 Pt 2.67, 4 Zn 2.86
Zn (0.0000, 0.0000, 0.7591)  4 Cu 2.59, 4 Pt 2.67, 4 Zn 2.86
Cu (0.5000, 0.5000, 0.0000)  8 Zn 2.59, 4 Cu 2.86
Pt (0.5000, 0.5000, 0.5000)  8 Zn 2.67, 4 Pt 2.86

***

This record from OQMD describes an optimized crystal structure of DyReAsO. The functional is PBE.

Summary:
M_tot = 0.0 μB/f.u.
distance to the lowest polymorph of the same formula = 1686 meV per atom

a b c (Å): 4.2809 4.2809 6.8656
angles (deg): 90.00 90.00 90.00
Last column: nearest neighbours and their distance in Å.
Sites, in units of the cell vectors:
Dy (0.2500, 0.7500, 0.0000)  4 As 2.87, 4 Dy 3.03
Dy (0.7500, 0.2500, 0.0000)  4 As 2.87, 4 Dy 3.03
Re (0.2500, 0.2500, 0.3629)  4 O 2.34, 1 As 2.46
Re (0.7500, 0.7500, 0.6371)  4 O 2.34, 1 As 2.46
As (0.2500, 0.2500, 0.7212)  1 Re 2.46, 4 O 2.62
As (0.7500, 0.7500, 0.2788)  1 Re 2.46, 4 O 2.62
O (0.2500, 0.7500, 0.5000)  4 Re 2.34
O (0.7500, 0.2500, 0.5000)  4 Re 2.34

***

This record from OQMD describes an optimized crystal structure of PaNb. The functional is PBE.

Summary:
M_tot = 0.0 μB/f.u.
distance to the lowest polymorph of the same formula = 0 meV per atom
formation energy = 286 meV/atom

a b c (Å): 3.0878 3.0878 5.2969
angles (deg): 90.00 90.00 120.00
Last column: nearest neighbours and their distance in Å.
Sites, in units of the cell vectors:
Pa (0.0000, 0.0000, 0.0000)  6 Pa 3.09, 6 Nb 3.19
Nb (0.3333, 0.6667, 0.5000)  6 Nb 3.09, 6 Pa 3.19

***

This record from OQMD describes an optimized crystal structure of DyTmCd2Sn2. The functional is PBE.

Summary:
final energy = -21.853 eV/cell
M_tot = 0.0 μB/f.u.

a b c (Å): 8.4834 8.4834 8.4834
angles (deg): 150.13 150.13 42.75
Last column: nearest neighbours and their distance in Å.
Sites, in units of the cell vectors:
Dy (0.0000, 0.0000, 0.0000)  5 Sn 3.07-3.11, 4 Cd 3.38
Tm (0.3262, 0.3262, 0.0000)  5 Sn 3.06-3.11, 4 Cd 3.37
Cd (0.1635, 0.6635, 0.5000)  4 Cd 3.09, 4 Sn 3.13-3.15, 2 Tm 3.37, 2 Dy 3.38
Cd (0.6635, 0.1635, 0.5000)  4 Cd 3.09, 4 Sn 3.13-3.15, 2 Tm 3.37, 2 Dy 3.38
Sn (0.5199, 0.5199, 0.0000)  1 Tm 3.06, 4 Dy 3.11, 4 Cd 3.15
Sn (0.8057, 0.8057, 0.0000)  1 Dy 3.07, 4 Tm 3.11, 4 Cd 3.13

***

This record from OQMD describes an optimized crystal structure of Li2Zn2O5. The functional is PBE.

Summary:
distance to the lowest polymorph of the same formula = 304 meV per atom

a b c (Å): 3.8264 3.8264 6.4429
angles (deg): 90.00 90.00 90.00
Last column: nearest neighbours and their distance in Å.
Sites, in units of the cell vectors:
Li (0.0000, 0.0000, 0.2143)  5 O 1.84-2.00
Li (0.0000, 0.0000, 0.7857)  5 O 1.84-2.00
Zn (0.5000, 0.5000, 0.0000)  8 O 2.07
Zn (0.5000, 0.5000, 0.5000)  4 O 2.71
O (0.0000, 0.0000, 0.5000)  2 Li 1.84
O (0.0000, 0.5000, 0.1213)  1 O 1.56
O (0.0000, 0.5000, 0.8787)  1 O 1.56
O (0.5000, 0.0000, 0.1213)  1 O 1.56
O (0.5000, 0.0000, 0.8787)  1 O 1.56

***

What did the fourth record say?
This record from OQMD describes an optimized crystal structure of TaF5. The functional is PBE.

Summary:
M_tot = 0.0 μB/f.u.
distance to the lowest polymorph of the same formula = 0 meV per atom

a b c (Å): 8.1557 8.1557 4.6302
angles (deg): 95.31 95.31 113.08
Last column: nearest neighbours and their distance in Å.
Sites, in units of the cell vectors:
Ta (0.2121, 0.7879, 0.0000)  6 F 1.85-2.06
Ta (0.2701, 0.2701, 0.7313)  6 F 1.84-2.05
Ta (0.7299, 0.7299, 0.2687)  6 F 1.84-2.05
Ta (0.7879, 0.2121, 0.0000)  6 F 1.85-2.06
F (0.0277, 0.2223, 0.8782)  2 Ta 2.05-2.06
F (0.0701, 0.6867, 0.6331)  1 Ta 1.88
F (0.1237, 0.1237, 0.3901)  1 Ta 1.88
F (0.1698, 0.5708, 0.1346)  1 Ta 1.85
F (0.2223, 0.0277, 0.8782)  2 Ta 2.05-2.06
F (0.2774, 0.4867, 0.6331)  1 Ta 1.84
F (0.3133, 0.9299, 0.3669)  1 Ta 1.88
F (0.3643, 0.3643, 0.1288)  1 Ta 1.89
F (0.4292, 0.8302, 0.8654)  1 Ta 1.85
F (0.4867, 0.2774, 0.6331)  1 Ta 1.84
F (0.5133, 0.7226, 0.3669)  1 Ta 1.84
F (0.5708, 0.1698, 0.1346)  1 Ta 1.85
F (0.6357, 0.6357, 0.8712)  1 Ta 1.89
F (0.6867, 0.0701, 0.6331)  1 Ta 1.88
F (0.7226, 0.5133, 0.3669)  1 Ta 1.84
F (0.7777, 0.9723, 0.1218)  2 Ta 2.05-2.06
F (0.8302, 0.4292, 0.8654)  1 Ta 1.85
F (0.8763, 0.8763, 0.6099)  1 Ta 1.88
F (0.9299, 0.3133, 0.3669)  1 Ta 1.88
F (0.9723, 0.7777, 0.1218)  2 Ta 2.05-2.06